# RhAu2I

An optimized crystal structure of RhAu2I (PBE, Alexandria via LeMat-Bulk).

Cell: 4.8340 4.8340 4.8340 Å, 60.00 60.00 60.00°
Closest atoms and distances in Å follow each position.
Atoms (fractional coordinates):
Rh 0.0000 0.0000 0.0000  8 Au 2.96
Au 0.2500 0.2500 0.2500  4 I 2.96, 4 Rh 2.96
Au 0.7500 0.7500 0.7500  4 I 2.96, 4 Rh 2.96
I 0.5000 0.5000 0.5000  8 Au 2.96

- SG: Fm-3m, No. 225
- Density of states at the Fermi level: 3.439 states/eV per cell
- Relative energy among the computed polymorphs: 210 meV per atom
- Energy relative to the elements, uncorrected: 0.67 eV/atom
- Crystal system: cubic
- Energy: -3.19 eV per atom